No. 1
## PPdO2F (PBE-GGA)

Data for a relaxed structure of PPdO2F.

Structure (POSCAR):
```
PPdO2F
1.0
4.213 0.000 0.000
0.000 4.213 0.000
0.000 0.000 3.557
P Pd O F
1 1 2 1
Cartesian
0.000 0.000 0.000
2.107 2.107 0.000
0.000 2.107 1.778
2.107 0.000 1.778
0.000 0.000 1.778
```

E_form (uncorrected)	0.83	eV/atom
space group	P4/mmm


No. 2
## Ba2HfBeTl (PBE-GGA)

Data for a relaxed structure of Ba2HfBeTl.

Structure (POSCAR):
```
Ba2HfBeTl
1.0
6.347 0.000 0.000
0.000 6.347 0.000
0.000 0.000 4.801
Ba Hf Be Tl
2 1 1 1
Cartesian
0.000 3.174 0.000
3.174 0.000 0.000
0.000 0.000 0.000
0.000 0.000 2.400
3.174 3.174 2.400
```

space group	P4/mmm
calculated formation energy	845	meV/atom


No. 3
## Th3FeAg2 (PBE-GGA)

Data for a relaxed structure of Th3FeAg2.

Structure (POSCAR):
```
Th3FeAg2
1.0
7.949 -2.552 0.000
7.949 2.552 0.000
0.000 0.000 7.461
Th Fe Ag
6 2 4
Cartesian
7.949 2.550 1.865
7.949 -2.550 5.596
5.872 0.000 0.000
5.872 0.000 3.731
10.026 0.000 0.000
10.026 0.000 3.731
7.949 0.003 5.596
7.949 -0.003 1.865
3.253 0.003 5.596
3.253 -0.003 1.865
12.644 0.003 5.596
12.644 -0.003 1.865
```

space group	Cmcm
calculated formation energy	-110	meV/atom


The records above yield magnetization values of 2.182, 0.480, 0.000 μB per cell, respectively.
The records above yield uncorrected energy values of -3.651, -3.134, -6.181 eV/atom, respectively.